First-principles (PBE-GGA) data for a relaxed Ag13Hg2 crystal, as listed in the Alexandria database.

The structure in CIF format:
```
data_Ag13Hg2
_cell_length_a 5.1197
_cell_length_b 7.2682
_cell_length_c 7.8632
_cell_angle_alpha 73.12
_cell_angle_beta 82.77
_cell_angle_gamma 89.97
_symmetry_space_group_name_H-M 'P -1'
_symmetry_Int_Tables_number 2
loop_
_symmetry_equiv_pos_as_xyz
'x,y,z'
'-x,-y,-z'
loop_
_atom_site_label
_atom_site_fract_x
_atom_site_fract_y
_atom_site_fract_z
Ag1 0.0000 0.0000 0.0000
Ag2 0.1361 0.2711 0.1941
Ag3 0.2019 0.4038 0.8032
Ag4 0.2714 0.5345 0.3963
Ag5 0.3341 0.6673 0.0000
Ag6 0.3991 0.7963 0.6035
Ag7 0.4677 0.9354 0.1956
Hg1 0.0702 0.1380 0.6034
```

Calculated values
energy of formation from the pure elements = 4 kJ per mole of atoms
VASP energy = -37.09 eV per formula unit
M_tot = 0.00 μB/atom
Fermi-level density of states = 0.3084 states/eV per atom

=====

First-principles (PBE-GGA) data for a relaxed DyErLuHg crystal, as listed in the Alexandria database.

The structure in CIF format:
```
data_DyErLuHg
_cell_length_a 7.5722
_cell_length_b 7.5722
_cell_length_c 7.5722
_cell_angle_alpha 90.00
_cell_angle_beta 90.00
_cell_angle_gamma 90.00
_symmetry_space_group_name_H-M 'F -4 3 m'
_symmetry_Int_Tables_number 216
_symmetry_space_group_name_Hall 'F -4 2 3'
loop_
_atom_site_label
_atom_site_fract_x
_atom_site_fract_y
_atom_site_fract_z
Dy1 0.0000 0.0000 0.0000
Er1 0.0000 0.0000 0.5000
Lu1 0.2500 0.2500 0.7500
Hg1 0.2500 0.2500 0.2500
```

Calculated values
energy of formation from the pure elements = -5 kJ per mole of atoms
VASP energy = -14.21 eV per formula unit
M_tot = 0.07 μB/atom
Fermi-level density of states = 1.3282 states/eV per atom

=====

First-principles (PBE-GGA) data for a relaxed CaMg2Sn crystal, as listed in the Alexandria database.

The structure in CIF format:
```
data_CaMg2Sn
_cell_length_a 4.5518
_cell_length_b 4.5518
_cell_length_c 22.1176
_cell_angle_alpha 90.00
_cell_angle_beta 90.00
_cell_angle_gamma 90.00
_symmetry_space_group_name_H-M 'I -4 2 d'
_symmetry_Int_Tables_number 122
_symmetry_space_group_name_Hall 'I -4 2bw'
loop_
_atom_site_label
_atom_site_fract_x
_atom_site_fract_y
_atom_site_fract_z
Ca1 0.0000 0.0000 0.0000
Mg1 0.2274 0.2500 0.6250
Sn1 0.0000 0.0000 0.5000
```

Calculated values
energy of formation from the pure elements = -4 kJ per mole of atoms
VASP energy = -9.37 eV per formula unit
M_tot = 0.00 μB/atom
Fermi-level density of states = 0.7894 states/eV per atom

=====

First-principles (PBE-GGA) data for a relaxed MnCo2Re crystal, as listed in the Alexandria database.

The structure in CIF format:
```
data_MnCo2Re
_cell_length_a 2.6165
_cell_length_b 2.6165
_cell_length_c 24.8319
_cell_angle_alpha 90.00
_cell_angle_beta 90.00
_cell_angle_gamma 120.00
_symmetry_space_group_name_H-M 'R 3 m'
_symmetry_Int_Tables_number 160
_symmetry_space_group_name_Hall 'R 3 -2"'
loop_
_atom_site_label
_atom_site_fract_x
_atom_site_fract_y
_atom_site_fract_z
Mn1 0.0000 0.0000 0.0000
Co1 0.0000 0.0000 0.4935
Co2 0.0000 0.0000 0.7474
Re1 0.0000 0.0000 0.2489
```

Calculated values
energy of formation from the pure elements = 17 kJ per mole of atoms
VASP energy = -35.11 eV per formula unit
M_tot = 0.88 μB/atom
Fermi-level density of states = 1.1441 states/eV per atom

=====

First-principles (PBE-GGA) data for a relaxed KCe2S4 crystal, as listed in the Alexandria database.

The structure in CIF format:
```
data_KCe2S4
_cell_length_a 4.1295
_cell_length_b 13.5901
_cell_length_c 13.8294
_cell_angle_alpha 90.00
_cell_angle_beta 90.00
_cell_angle_gamma 90.00
_symmetry_space_group_name_H-M 'C m c m'
_symmetry_Int_Tables_number 63
_symmetry_space_group_name_Hall '-C 2c 2'
loop_
_atom_site_label
_atom_site_fract_x
_atom_site_fract_y
_atom_site_fract_z
K1 0.0000 0.1101 0.2500
Ce1 0.0000 0.3661 0.0692
S1 0.0000 0.0000 0.0000
S2 0.0000 0.2629 0.6059
S3 0.0000 0.4339 0.2500
```

Calculated values
VASP energy = -41.92 eV per formula unit
M_tot = 0.15 μB/atom
Fermi-level density of states = 1.2890 states/eV per atom

=====

First-principles (PBE-GGA) data for a relaxed MgBrCl crystal, as listed in the Alexandria database.

The structure in CIF format:
```
data_MgBrCl
_cell_length_a 13.7221
_cell_length_b 3.8586
_cell_length_c 6.4665
_cell_angle_alpha 90.00
_cell_angle_beta 116.85
_cell_angle_gamma 90.00
_symmetry_space_group_name_H-M 'C 1 m 1'
_symmetry_Int_Tables_number 8
loop_
_symmetry_equiv_pos_as_xyz
'x,y,z'
'x,-y,z'
'x+1/2,y+1/2,z'
'x+1/2,-y+1/2,z'
loop_
_atom_site_label
_atom_site_fract_x
_atom_site_fract_y
_atom_site_fract_z
Mg1 0.0000 0.0000 0.0000
Mg2 0.2259 0.5000 0.7452
Br1 0.1263 0.5000 0.2685
Br2 0.3701 0.0000 0.6782
Cl1 0.1134 0.0000 0.7588
Cl2 0.3639 0.5000 0.1348
```

Calculated values
VASP energy = -9.85 eV per formula unit
M_tot = 0.00 μB/atom
Fermi-level density of states = 0.0000 states/eV per atom

=====

First-principles (PBE-GGA) data for a relaxed YTi2Br crystal, as listed in the Alexandria database.

The structure in CIF format:
```
data_YTi2Br
_cell_length_a 3.9388
_cell_length_b 3.9388
_cell_length_c 23.1406
_cell_angle_alpha 90.00
_cell_angle_beta 90.00
_cell_angle_gamma 90.00
_symmetry_space_group_name_H-M 'I -4 2 d'
_symmetry_Int_Tables_number 122
_symmetry_space_group_name_Hall 'I -4 2bw'
loop_
_atom_site_label
_atom_site_fract_x
_atom_site_fract_y
_atom_site_fract_z
Y1 0.0000 0.0000 0.0000
Ti1 0.2472 0.2500 0.1250
Br1 0.0000 0.0000 0.5000
```

Calculated values
VASP energy = -23.20 eV per formula unit
M_tot = 0.00 μB/atom
Fermi-level density of states = 1.5812 states/eV per atom

=====

First-principles (PBE-GGA) data for a relaxed Pm3Dy7Th crystal, as listed in the Alexandria database.

The structure in CIF format:
```
data_Pm3Dy7Th
_cell_length_a 7.0656
_cell_length_b 7.0656
_cell_length_c 8.7236
_cell_angle_alpha 90.00
_cell_angle_beta 90.00
_cell_angle_gamma 120.00
_symmetry_space_group_name_H-M 'P 3 m 1'
_symmetry_Int_Tables_number 156
loop_
_symmetry_equiv_pos_as_xyz
'x,y,z'
'-y,x-y,z'
'-x+y,-x,z'
'-y,-x,z'
'-x+y,y,z'
'x,x-y,z'
loop_
_atom_site_label
_atom_site_fract_x
_atom_site_fract_y
_atom_site_fract_z
Pm1 0.0038 0.5019 0.0000
Dy1 0.1690 0.3380 0.3413
Dy2 0.3348 0.1674 0.6656
Dy3 0.6667 0.3333 0.3395
Th1 0.3333 0.6667 0.6653
```

Calculated values
energy of formation from the pure elements = 17 kJ per mole of atoms
VASP energy = -51.93 eV per formula unit
M_tot = 0.00 μB/atom
Fermi-level density of states = 1.5557 states/eV per atom

=====

First-principles (PBE-GGA) data for a relaxed MgScP crystal, as listed in the Alexandria database.

The structure in CIF format:
```
data_MgScP
_cell_length_a 4.0794
_cell_length_b 5.2771
_cell_length_c 11.3709
_cell_angle_alpha 90.00
_cell_angle_beta 90.00
_cell_angle_gamma 90.00
_symmetry_space_group_name_H-M 'F m m 2'
_symmetry_Int_Tables_number 42
_symmetry_space_group_name_Hall 'F 2 -2'
loop_
_atom_site_label
_atom_site_fract_x
_atom_site_fract_y
_atom_site_fract_z
Mg1 0.0000 0.0000 0.0000
Sc1 0.0000 0.0000 0.7212
P1 0.0000 0.0000 0.3492
```

Calculated values
energy of formation from the pure elements = -53 kJ per mole of atoms
VASP energy = -14.98 eV per formula unit
M_tot = 0.00 μB/atom
Fermi-level density of states = 0.3278 states/eV per atom

=====

First-principles (PBE-GGA) data for a relaxed BaSrAc crystal, as listed in the Alexandria database.

The structure in CIF format:
```
data_BaSrAc
_cell_length_a 4.1662
_cell_length_b 4.1662
_cell_length_c 10.3923
_cell_angle_alpha 90.00
_cell_angle_beta 90.00
_cell_angle_gamma 120.00
_symmetry_space_group_name_H-M 'P 3 m 1'
_symmetry_Int_Tables_number 156
loop_
_symmetry_equiv_pos_as_xyz
'x,y,z'
'-y,x-y,z'
'-x+y,-x,z'
'-y,-x,z'
'-x+y,y,z'
'x,x-y,z'
loop_
_atom_site_label
_atom_site_fract_x
_atom_site_fract_y
_atom_site_fract_z
Ba1 0.0000 0.0000 0.0000
Sr1 0.3333 0.6667 0.6484
Ac1 0.6667 0.3333 0.3291
```

Calculated values
energy of formation from the pure elements = 6 kJ per mole of atoms
VASP energy = -7.52 eV per formula unit
M_tot = 0.00 μB/atom
Fermi-level density of states = 1.4913 states/eV per atom

=====

First-principles (PBE-GGA) data for a relaxed PuNbMoRu crystal, as listed in the Alexandria database.

The structure in CIF format:
```
data_PuNbMoRu
_cell_length_a 6.5605
_cell_length_b 6.5605
_cell_length_c 6.5605
_cell_angle_alpha 90.00
_cell_angle_beta 90.00
_cell_angle_gamma 90.00
_symmetry_space_group_name_H-M 'F -4 3 m'
_symmetry_Int_Tables_number 216
_symmetry_space_group_name_Hall 'F -4 2 3'
loop_
_atom_site_label
_atom_site_fract_x
_atom_site_fract_y
_atom_site_fract_z
Pu1 0.0000 0.0000 0.0000
Nb1 0.0000 0.0000 0.5000
Mo1 0.2500 0.2500 0.2500
Ru1 0.2500 0.2500 0.7500
```

Calculated values
energy of formation from the pure elements = -1 kJ per mole of atoms
VASP energy = -44.54 eV per formula unit
M_tot = 0.99 μB/atom
Fermi-level density of states = 1.2421 states/eV per atom

=====

First-principles (PBE-GGA) data for a relaxed CaHfCr2Bi crystal, as listed in the Alexandria database.

The structure in CIF format:
```
data_CaHfCr2Bi
_cell_length_a 5.0263
_cell_length_b 5.0263
_cell_length_c 5.5997
_cell_angle_alpha 90.00
_cell_angle_beta 90.00
_cell_angle_gamma 90.00
_symmetry_space_group_name_H-M 'P 4/m m m'
_symmetry_Int_Tables_number 123
_symmetry_space_group_name_Hall '-P 4 2'
loop_
_atom_site_label
_atom_site_fract_x
_atom_site_fract_y
_atom_site_fract_z
Ca1 0.0000 0.0000 0.0000
Hf1 0.5000 0.5000 0.5000
Cr1 0.0000 0.5000 0.5000
Bi1 0.5000 0.5000 0.0000
```

Calculated values
energy of formation from the pure elements = 82 kJ per mole of atoms
VASP energy = -30.81 eV per formula unit
M_tot = 1.51 μB/atom
Fermi-level density of states = 0.7496 states/eV per atom

=====

First-principles (PBE-GGA) data for a relaxed Ce2MgGa3 crystal, as listed in the Alexandria database.

The structure in CIF format:
```
data_Ce2MgGa3
_cell_length_a 5.8362
_cell_length_b 5.8362
_cell_length_c 8.6806
_cell_angle_alpha 90.00
_cell_angle_beta 90.00
_cell_angle_gamma 120.00
_symmetry_space_group_name_H-M 'P 63/m m c'
_symmetry_Int_Tables_number 194
_symmetry_space_group_name_Hall '-P 6c 2c'
loop_
_atom_site_label
_atom_site_fract_x
_atom_site_fract_y
_atom_site_fract_z
Ce1 0.3333 0.6667 0.0892
Mg1 0.0000 0.0000 0.0000
Ga1 0.1785 0.3570 0.7500
```

Calculated values
energy of formation from the pure elements = -47 kJ per mole of atoms
VASP energy = -25.47 eV per formula unit
M_tot = 0.25 μB/atom
Fermi-level density of states = 1.5079 states/eV per atom

=====

First-principles (PBE-GGA) data for a relaxed AcPuPO crystal, as listed in the Alexandria database.

The structure in CIF format:
```
data_AcPuPO
_cell_length_a 4.3179
_cell_length_b 4.3179
_cell_length_c 9.9812
_cell_angle_alpha 90.00
_cell_angle_beta 90.00
_cell_angle_gamma 90.00
_symmetry_space_group_name_H-M 'P 4/n m m'
_symmetry_Int_Tables_number 129
loop_
_symmetry_equiv_pos_as_xyz
'x,y,z'
'-x,-y,-z'
'-y+1/2,x,z'
'y+1/2,-x,-z'
'-x+1/2,-y+1/2,z'
'x+1/2,y+1/2,-z'
'y,-x+1/2,z'
'-y,x+1/2,-z'
'x+1/2,-y,-z'
'-x+1/2,y,z'
'-y,-x,-z'
'y,x,z'
'-x,y+1/2,-z'
'x,-y+1/2,z'
'y+1/2,x+1/2,-z'
'-y+1/2,-x+1/2,z'
loop_
_atom_site_label
_atom_site_fract_x
_atom_site_fract_y
_atom_site_fract_z
Ac1 0.2500 0.2500 0.1242
Pu1 0.2500 0.7500 0.5000
P1 0.2500 0.2500 0.6883
O1 0.2500 0.7500 0.0000
```

Calculated values
VASP energy = -36.52 eV per formula unit
M_tot = 1.50 μB/atom
Fermi-level density of states = 0.9241 states/eV per atom

=====

First-principles (PBE-GGA) data for a relaxed HfCoNi crystal, as listed in the Alexandria database.

The structure in CIF format:
```
data_HfCoNi
_cell_length_a 3.1854
_cell_length_b 3.1854
_cell_length_c 8.3980
_cell_angle_alpha 90.00
_cell_angle_beta 90.00
_cell_angle_gamma 90.00
_symmetry_space_group_name_H-M 'I 4 m m'
_symmetry_Int_Tables_number 107
_symmetry_space_group_name_Hall 'I 4 -2'
loop_
_atom_site_label
_atom_site_fract_x
_atom_site_fract_y
_atom_site_fract_z
Hf1 0.0000 0.0000 0.0000
Co1 0.0000 0.0000 0.3334
Ni1 0.0000 0.0000 0.6707
```

Calculated values
energy of formation from the pure elements = -24 kJ per mole of atoms
VASP energy = -23.59 eV per formula unit
M_tot = 0.35 μB/atom
Fermi-level density of states = 1.3854 states/eV per atom